First-principles (PBE-GGA) data for a geometry-optimized B2TeH structure, as listed in Alexandria via LeMat-Bulk.

The offset from the most stable computed form comes out at 17.74 kcal/mol of atoms. The calculation puts the electronic total energy at -0.115 hartree per atom. As for the crystal system: cubic.

Cell lengths 4.0353, 4.0353, 4.0353 Å; angles 60.00, 60.00, 60.00 degrees
Fractional coordinates of all 4 atoms:
B 0.2500 0.2500 0.2500
B 0.7500 0.7500 0.7500
Te 0.0000 0.0000 0.0000
H 0.5000 0.5000 0.5000

=====

First-principles (PBE-GGA) data for a geometry-optimized LiSiTc2 structure, as listed in Alexandria via LeMat-Bulk.

The calculation puts the uncorrected formation energy at 298 meV/atom. The calculation puts the electronic total energy at -0.247 hartree per atom. As for the crystal system: tetragonal.

Cell lengths 5.4181, 5.4181, 5.4181 Å; angles 102.62, 102.62, 124.26 degrees
Fractional coordinates of all 8 atoms:
Li 0.0000 0.0000 0.0000
Li 0.7500 0.2500 0.5000
Si 0.2500 0.7500 0.5000
Si 0.5000 0.5000 0.0000
Tc 0.1529 0.6250 0.0279
Tc 0.3750 0.4029 0.5279
Tc 0.5971 0.1250 0.9721
Tc 0.8750 0.8471 0.4721

=====

First-principles (PBE-GGA) data for a geometry-optimized LaHoMnAl structure, as listed in Alexandria via LeMat-Bulk.

Its formation energy is -3.0 kJ/mol of atoms. The calculation puts the electronic total energy at -0.207 hartree per atom. As for the crystal system: cubic.

Cell lengths 5.1961, 5.1961, 5.1961 Å; angles 60.00, 60.00, 60.00 degrees
Fractional coordinates of all 4 atoms:
La 0.0000 0.0000 0.0000
Ho 0.5000 0.5000 0.5000
Mn 0.7500 0.7500 0.7500
Al 0.2500 0.2500 0.2500

=====

First-principles (PBE-GGA) data for a geometry-optimized Y2HfMgS structure, as listed in Alexandria via LeMat-Bulk.

The calculation puts the uncorrected formation energy at 290 meV/atom. The calculation puts the electronic total energy at -0.200 hartree per atom. As for the crystal system: tetragonal.

Cell lengths 5.7583, 5.7583, 4.8109 Å; angles 90.00, 90.00, 90.00 degrees
Fractional coordinates of all 5 atoms:
Y 0.0000 0.5000 0.0000
Y 0.5000 0.0000 0.0000
Hf 0.0000 0.0000 0.0000
Mg 0.5000 0.5000 0.5000
S 0.0000 0.0000 0.5000

=====

First-principles (PBE-GGA) data for a geometry-optimized ZrPaAl4 structure, as listed in Alexandria via LeMat-Bulk.

Its formation energy is -31.0 kJ/mol of atoms. The calculation puts the electronic total energy at -0.214 hartree per atom. As for the crystal system: cubic.

Cell lengths 5.4430, 5.4430, 5.4430 Å; angles 60.00, 60.00, 60.00 degrees
Fractional coordinates of all 6 atoms:
Zr 0.0000 0.0000 0.0000
Pa 0.2500 0.2500 0.2500
Al 0.1250 0.6250 0.6250
Al 0.6250 0.1250 0.6250
Al 0.6250 0.6250 0.1250
Al 0.6250 0.6250 0.6250

=====

First-principles (PBE-GGA) data for a geometry-optimized Bi2HIrI structure, as listed in Alexandria via LeMat-Bulk.

The calculation puts the electronic total energy at -0.149 hartree per atom. As for the crystal system: tetragonal.

Cell lengths 5.6044, 5.6044, 3.6214 Å; angles 90.00, 90.00, 90.00 degrees
Fractional coordinates of all 5 atoms:
Bi 0.0000 0.5000 0.0000
Bi 0.5000 0.0000 0.0000
H 0.0000 0.0000 0.5000
Ir 0.0000 0.0000 0.0000
I 0.5000 0.5000 0.5000

=====

First-principles (PBE-GGA) data for a geometry-optimized Ac2PuMn2N6 structure, as listed in Alexandria via LeMat-Bulk.

The calculation puts the uncorrected formation energy at -817 meV/atom. The calculation puts the electronic total energy at -0.333 hartree per atom. As for the crystal system: trigonal.

Cell lengths 6.4913, 6.4913, 6.4913 Å; angles 54.16, 54.16, 54.16 degrees
Fractional coordinates of all 11 atoms:
Ac 0.2263 0.2263 0.2263
Ac 0.7737 0.7737 0.7737
Pu 0.0000 0.0000 0.0000
Mn 0.4386 0.4386 0.4386
Mn 0.5614 0.5614 0.5614
N 0.2495 0.2495 0.7486
N 0.2495 0.7486 0.2495
N 0.2514 0.7505 0.7505
N 0.7486 0.2495 0.2495
N 0.7505 0.2514 0.7505
N 0.7505 0.7505 0.2514

=====

First-principles (PBE-GGA) data for a geometry-optimized MgPaAlOs structure, as listed in Alexandria via LeMat-Bulk.

Its formation energy is -9.4 kJ/mol of atoms. The calculation puts the electronic total energy at -0.243 hartree per atom. As for the crystal system: cubic.

Cell lengths 4.7290, 4.7290, 4.7290 Å; angles 60.00, 60.00, 60.00 degrees
Fractional coordinates of all 4 atoms:
Mg 0.0000 0.0000 0.0000
Pa 0.7500 0.7500 0.7500
Al 0.2500 0.2500 0.2500
Os 0.5000 0.5000 0.5000